The following is a GGA-PBE calculation of a geometry-optimized Pm2ScSn3Pd4 structure, from Alexandria via LeMat-Bulk.

abc: 4.541 4.541 10.914
angles: 90.00 90.00 90.00
Space group P-4m2 (No. 115)
Unique sites:
Pm 0.000 0.500 0.231
Sc 0.000 0.000 0.500
Sn 0.000 0.500 0.871
Sn 0.500 0.500 0.500
Pd 0.000 0.000 0.000
Pd 0.000 0.500 0.635
Pd 0.500 0.500 0.000

Results
M_tot = 0.0000 μB per atom
energy relative to the elements = -798.9 meV/atom
total DFT energy (no corrections) = -5.66 eV per atom



The following is a GGA-PBE calculation of a geometry-optimized TaSbO4 structure, from Alexandria via LeMat-Bulk.

abc: 7.212 7.063 6.490
angles: 90.00 90.00 90.00
Space group Cmcm (No. 63)
Unique sites:
Ta 0.000 0.000 0.000
Sb 0.000 0.481 0.250
O 0.000 0.275 0.029
O 0.176 0.019 0.750

Results
raw formation energy = -2.055 eV/atom
M_tot = 0.0000 μB per atom
total DFT energy (no corrections) = -8.02 eV per atom



The following is a GGA-PBE calculation of a geometry-optimized CaCr2Sn2 structure, from Alexandria via LeMat-Bulk.

abc: 4.787 4.787 9.299
angles: 90.00 90.00 90.00
Space group I4/mmm (No. 139)
Unique sites:
Ca 0.000 0.000 0.000
Cr 0.000 0.000 0.403
Sn 0.000 0.500 0.250

Results
M_tot = 0.0000 μB per atom
energy relative to the elements = 92.3 meV/atom
total DFT energy (no corrections) = -5.76 eV per atom



The following is a GGA-PBE calculation of a geometry-optimized TcSe2I structure, from Alexandria via LeMat-Bulk.

abc: 5.640 3.469 11.092
angles: 90.00 101.45 90.00
Space group C2/m (No. 12)
Unique sites:
Tc 0.000 0.000 0.000
Se 0.217 0.500 0.151
I 0.000 0.500 0.500

Results
raw formation energy = -0.079 eV/atom
M_tot = 0.2227 μB per atom
total DFT energy (no corrections) = -4.80 eV per atom



The following is a GGA-PBE calculation of a geometry-optimized UGeSb2 structure, from Alexandria via LeMat-Bulk.

abc: 4.501 4.501 4.597
angles: 90.00 90.00 90.00
Space group P4/mmm (No. 123)
Unique sites:
U 0.000 0.000 0.000
Ge 0.500 0.500 0.000
Sb 0.000 0.500 0.500

Results
raw formation energy = -0.134 eV/atom
M_tot = 0.4860 μB per atom
total DFT energy (no corrections) = -6.17 eV per atom



The following is a GGA-PBE calculation of a geometry-optimized CeLuZr structure, from Alexandria via LeMat-Bulk.

abc: 5.2244 5.2244 3.3543
angles: 90.00 90.00 120.00
Space group P-6m2 (No. 187)
Unique sites:
Ce 0.0000 0.0000 0.0000
Lu 0.3333 0.6667 0.5000
Zr 0.6667 0.3333 0.0000

Results
M_tot = 0.0000 μB per atom
energy relative to the elements = 50.7 meV/atom
total DFT energy (no corrections) = -6.28 eV per atom



The following is a GGA-PBE calculation of a geometry-optimized Na2RhF6 structure, from Alexandria via LeMat-Bulk.

abc: 5.664 5.823 9.436
angles: 90.00 120.08 90.00
Space group P2_1/c (No. 14)
Unique sites:
Na 0.187 0.076 0.227
Rh 0.500 0.000 0.000
F 0.173 0.180 0.951
F 0.254 0.742 0.897
F 0.455 0.094 0.790

Results
raw formation energy = -2.140 eV/atom
M_tot = 0.1129 μB per atom
total DFT energy (no corrections) = -4.50 eV per atom



The following is a GGA-PBE calculation of a geometry-optimized LiOsRh structure, from Alexandria via LeMat-Bulk.

abc: 2.6898 2.6898 13.4514
angles: 90.00 90.00 120.00
Space group P-6m2 (No. 187)
Unique sites:
Li 0.0000 0.0000 0.1696
Os 0.0000 0.0000 0.5000
Os 0.6667 0.3333 0.0000
Rh 0.6667 0.3333 0.3380

Results
M_tot = 0.0000 μB per atom
energy relative to the elements = 65.9 meV/atom
total DFT energy (no corrections) = -6.77 eV per atom



The following is a GGA-PBE calculation of a geometry-optimized CdHgPd structure, from Alexandria via LeMat-Bulk.

abc: 7.5279 7.5279 3.6754
angles: 90.00 90.00 120.00
Space group P-62m (No. 189)
Unique sites:
Cd 0.0000 0.7275 0.0000
Hg 0.0000 0.3952 0.5000
Pd 0.0000 0.0000 0.5000
Pd 0.3333 0.6667 0.0000

Results
M_tot = 0.0000 μB per atom
energy relative to the elements = -139.2 meV/atom
total DFT energy (no corrections) = -2.28 eV per atom



The following is a GGA-PBE calculation of a geometry-optimized BaZn structure, from Alexandria via LeMat-Bulk.

abc: 7.868 7.868 7.868
angles: 90.00 90.00 90.00
Space group Fd-3m (No. 227, origin choice 2)
Unique sites:
Ba 0.125 0.125 0.125
Zn 0.125 0.125 0.625

Results
M_tot = 0.0000 μB per atom
energy relative to the elements = 42.3 meV/atom
total DFT energy (no corrections) = -1.56 eV per atom



The following is a GGA-PBE calculation of a geometry-optimized CuAg2Pt structure, from Alexandria via LeMat-Bulk.

abc: 2.829 2.829 7.904
angles: 90.00 90.00 90.00
Space group P4/mmm (No. 123)
Unique sites:
Cu 0.000 0.000 0.000
Ag 0.500 0.500 0.237
Pt 0.000 0.000 0.500

Results
M_tot = 0.0000 μB per atom
energy relative to the elements = 61.1 meV/atom
total DFT energy (no corrections) = -3.90 eV per atom



The following is a GGA-PBE calculation of a geometry-optimized HfTeSe structure, from Alexandria via LeMat-Bulk.

abc: 3.863 5.316 9.341
angles: 90.06 90.12 90.00
Space group P-1 (No. 2)
Unique sites:
Hf 0.249 0.250 0.364
Te 0.252 0.750 0.849
Se 0.250 0.750 0.420

Results
raw formation energy = -0.964 eV/atom
M_tot = 0.0000 μB per atom
total DFT energy (no corrections) = -6.49 eV per atom



The following is a GGA-PBE calculation of a geometry-optimized SrMg3Be structure, from Alexandria via LeMat-Bulk.

abc: 4.998 4.998 4.998
angles: 90.00 90.00 90.00
Space group Pm-3m (No. 221)
Unique sites:
Sr 0.000 0.000 0.000
Mg 0.000 0.500 0.500
Be 0.500 0.500 0.500

Results
M_tot = 0.0000 μB per atom
energy relative to the elements = 139.7 meV/atom
total DFT energy (no corrections) = -1.90 eV per atom